No. 1
Compound: MnTl2Ru
Source: the Alexandria database
Functional: PBE
Structure: relaxed

Output
ΔE to the lowest computed polymorph = 202 meV/atom
raw total energy = -20.9 eV per formula unit
mass density = 12.6 g/cm3

extended XYZ file:
```
4
Lattice="3.394 0.000 0.000 0.000 3.394 0.000 0.000 0.000 6.467" Properties=species:S:1:pos:R:3 pbc="T T T"
Tl 0.000 0.000 6.429
Tl 0.000 0.000 3.272
Mn 1.697 1.697 1.617
Ru 1.697 1.697 4.851
```

***

No. 2
Compound: MnTl2Ru
Source: the Alexandria database
Functional: PBE
Structure: relaxed

Output
ΔE to the lowest computed polymorph = 209 meV/atom
raw total energy = -20.9 eV per formula unit
mass density = 12.5 g/cm3

extended XYZ file:
```
4
Lattice="4.731 0.050 0.000 -0.685 4.682 0.000 0.000 0.000 3.372" Properties=species:S:1:pos:R:3 pbc="T T T"
Tl 2.023 2.366 0.000
Tl 0.000 0.000 0.000
Ru -0.342 2.341 1.686
Mn 2.366 0.025 1.686
```

***

No. 3
Compound: MnTl2Ru
Source: the Alexandria database
Functional: PBE
Structure: relaxed

Output
ΔE to the lowest computed polymorph = 0 meV/atom
raw total energy = -21.7 eV per formula unit
mass density = 11.5 g/cm3

extended XYZ file:
```
4
Lattice="3.168 0.017 0.000 -0.017 3.168 0.000 0.000 0.000 8.136" Properties=species:S:1:pos:R:3 pbc="T T T"
Tl 0.000 0.000 7.713
Tl 1.576 1.592 2.425
Ru 1.576 1.592 5.703
Mn 0.000 0.000 4.499
```

***

No. 4
Compound: MnTl2Ru
Source: the Alexandria database
Functional: PBE
Structure: relaxed

Output
ΔE to the lowest computed polymorph = 437 meV/atom
raw total energy = -19.9 eV per formula unit
mass density = 11.2 g/cm3

extended XYZ file:
```
8
Lattice="7.532 0.000 0.000 0.000 7.532 0.000 3.766 3.766 2.948" Properties=species:S:1:pos:R:3 pbc="T T T"
Ru 7.532 3.766 1.474
Ru 0.000 0.000 0.000
Tl 1.858 5.649 0.737
Tl 5.649 5.624 2.211
Tl 9.415 9.441 2.211
Tl 5.675 1.883 0.737
Mn 3.766 7.532 1.474
Mn 3.766 3.766 0.000
```

***

No. 5
Compound: MnTl2Ru
Source: the Alexandria database
Functional: PBE
Structure: relaxed

Output
ΔE to the lowest computed polymorph = 201 meV/atom
raw total energy = -20.9 eV per formula unit
mass density = 12.0 g/cm3

extended XYZ file:
```
4
Lattice="4.924 -0.097 0.083 3.758 3.183 0.083 1.206 0.429 4.896" Properties=species:S:1:pos:R:3 pbc="T T T"
Mn 7.416 2.636 3.796
Tl 4.970 1.767 2.500
Tl 8.655 3.077 0.198
Ru 2.472 0.879 1.265
```

***

No. 6
Compound: MnTlRu2
Source: the Alexandria database
Functional: PBE
Structure: relaxed

Output
ΔE to the lowest computed polymorph = 87 meV/atom
raw total energy = -28.5 eV per formula unit
mass density = 12.0 g/cm3

extended XYZ file:
```
4
Lattice="4.648 -0.005 -0.004 3.734 2.767 -0.004 1.028 0.339 4.975" Properties=species:S:1:pos:R:3 pbc="T T T"
Ru 1.107 0.365 4.757
Ru 4.626 1.524 2.702
Mn 7.057 2.325 3.726
Tl 2.352 0.775 1.242
```

***

No. 7
Compound: MnTl2Ru
Source: the Alexandria database
Functional: PBE
Structure: relaxed

Output
ΔE to the lowest computed polymorph = 279 meV/atom
raw total energy = -20.6 eV per formula unit
mass density = 11.9 g/cm3

extended XYZ file:
```
4
Lattice="-0.792 0.744 5.168 4.744 -2.418 -1.560 2.251 2.308 0.139" Properties=species:S:1:pos:R:3 pbc="T T T"
Tl 0.729 1.526 2.653
Tl 0.000 0.000 0.000
Mn 3.498 -0.055 -0.711
Ru 1.976 -0.837 1.804
```

***

No. 8
Compound: MnTlRu2
Source: the Alexandria database
Functional: PBE
Structure: relaxed

Output
ΔE to the lowest computed polymorph = 135 meV/atom
raw total energy = -28.3 eV per formula unit
mass density = 12.2 g/cm3

extended XYZ file:
```
4
Lattice="-2.971 -0.009 3.966 0.841 -3.891 2.950 2.939 3.422 -2.050" Properties=species:S:1:pos:R:3 pbc="T T T"
Ru 1.357 -1.210 2.179
Ru 0.000 0.000 0.000
Tl -1.065 -1.950 3.458
Mn -0.548 0.732 2.686
```